First-principles (GGA-PBE) data for a relaxed structure of Sr2GePt2, as listed in the Alexandria database.

Lattice parameters (Å, degrees): 3.765 3.765 9.620 78.72 78.72 90.00
Sites, in units of the cell vectors:
Sr 0.387 0.387 0.225
Sr 0.613 0.613 0.775
Ge 0.000 0.000 0.000
Pt 0.750 0.250 0.500
Pt 0.250 0.750 0.500

ΔH_f (0 K) ... -0.49 eV/atom
Raw total energy ... -4.500 eV/atom

=====

First-principles (GGA-PBE) data for a relaxed structure of HfTh2Zr, as listed in the Alexandria database.

Lattice parameters (Å, degrees): 5.357 5.357 5.357 60.00 60.00 60.00
Sites, in units of the cell vectors:
Hf 0.500 0.500 0.500
Zr 0.000 0.000 0.000
Th 0.250 0.250 0.250
Th 0.750 0.750 0.750

ΔH_f (0 K) ... 0.18 eV/atom
ΔE to the lowest computed polymorph ... 0.093 eV per formula unit
Raw total energy ... -8.158 eV/atom

=====

First-principles (GGA-PBE) data for a relaxed structure of AcCoS, as listed in the Alexandria database.

Lattice parameters (Å, degrees): 4.797 4.236 7.018 107.62 90.00 90.00
Each line ends with the local moment (μB).
Sites, in units of the cell vectors:
Ac 0.000 0.170 0.501  -0.02
Ac 0.500 0.902 0.970  -0.02
Co 0.250 0.536 0.236  0.29
Co 0.750 0.536 0.236  0.29
S 0.000 0.396 0.959  0.00
S 0.500 0.676 0.512  0.00

Uncorrected formation energy ... -1.00 eV/atom
ΔE to the lowest computed polymorph ... 0.000 eV per formula unit
Raw total energy ... -6.113 eV/atom

=====

First-principles (GGA-PBE) data for a relaxed structure of LaMgV2, as listed in the Alexandria database.

Lattice parameters (Å, degrees): 7.816 7.816 6.277 51.49 51.49 90.00
Each line ends with the local moment (μB).
Sites, in units of the cell vectors:
Mg 0.500 0.500 0.000  -0.02
Mg 0.250 0.750 0.500  -0.02
La 0.000 0.000 0.000  0.08
La 0.750 0.250 0.500  0.08
V 0.606 0.125 0.250  1.98
V 0.144 0.625 0.250  1.98
V 0.375 0.394 0.750  1.98
V 0.875 0.856 0.750  1.98

ΔH_f (0 K) ... 0.98 eV/atom
Raw total energy ... -5.213 eV/atom

=====

First-principles (GGA-PBE) data for a relaxed structure of Sm3ErCo2, as listed in the Alexandria database.

Lattice parameters (Å, degrees): 3.777 8.570 10.007 77.92 79.12 77.27
Sites, in units of the cell vectors:
Sm 0.160 0.928 0.752
Sm 0.840 0.072 0.248
Sm 0.416 0.230 0.937
Sm 0.584 0.770 0.063
Sm 0.583 0.281 0.554
Sm 0.417 0.719 0.446
Er 0.838 0.572 0.752
Er 0.162 0.428 0.248
Co 0.232 0.581 0.954
Co 0.768 0.419 0.046
Co 0.765 0.920 0.549
Co 0.235 0.080 0.451

ΔH_f (0 K) ... -0.11 eV/atom
Raw total energy ... -5.601 eV/atom

=====

First-principles (GGA-PBE) data for a relaxed structure of VSb2CI, as listed in the Alexandria database.

Lattice parameters (Å, degrees): 4.672 4.672 4.887 90.00 90.00 90.00
Sites, in units of the cell vectors:
I 0.000 0.000 0.500
Sb 0.000 0.500 0.000
Sb 0.500 0.000 0.000
C 0.000 0.000 0.000
V 0.500 0.500 0.500

Uncorrected formation energy ... 1.40 eV/atom
ΔE to the lowest computed polymorph ... 0.000 eV per formula unit
Raw total energy ... -4.224 eV/atom